1.
# BeIr

A geometry-optimized BeIr structure (PBE, the Alexandria database).

a = 8.6129 Å, b = 2.7841 Å, c = 3.8786 Å
α = 90.00°, β = 102.39°, γ = 90.00°
Closest atoms and distances in Å follow each position.
Positions (direct):
Be  0.0933  0.0000  0.2564  1 Be 2.27, 7 Ir 2.36-2.42
Be  0.4067  0.5000  0.7436  1 Be 2.27, 7 Ir 2.36-2.42
Be  0.5933  0.5000  0.2564  1 Be 2.27, 7 Ir 2.36-2.42
Be  0.9067  0.0000  0.7436  1 Be 2.27, 7 Ir 2.36-2.42
Ir  0.1356  0.5000  0.7738  7 Be 2.36-2.42
Ir  0.3644  0.0000  0.2262  7 Be 2.36-2.42
Ir  0.6356  0.0000  0.7738  7 Be 2.36-2.42
Ir  0.8644  0.5000  0.2262  7 Be 2.36-2.42

Output
As for the energy relative to the elements: -0.449 eV/atom. Its space-group type is C2/m, No. 12.

=====

2.
# ZnTc3F

A geometry-optimized ZnTc3F structure (PBE, the Alexandria database).

a = 4.1770 Å, b = 4.1770 Å, c = 4.1770 Å
α = 90.00°, β = 90.00°, γ = 90.00°
Closest atoms and distances in Å follow each position.
Positions (direct):
Zn  0.0000  0.0000  0.0000  12 Tc 2.95
Tc  0.0000  0.5000  0.5000  2 F 2.09
Tc  0.5000  0.0000  0.5000  2 F 2.09
Tc  0.5000  0.5000  0.0000  2 F 2.09
F  0.5000  0.5000  0.5000  6 Tc 2.09

Output
Its energy above the most stable polymorph in this dataset is 0.0 kJ/mol of atoms. The uncorrected formation energy is 866 meV per atom. Its space-group type is Pm-3m, No. 221.

=====

3.
# Ac4Ni3Rh

A geometry-optimized Ac4Ni3Rh structure (PBE, the Alexandria database).

a = 4.0839 Å, b = 4.3658 Å, c = 11.6306 Å
α = 90.00°, β = 90.00°, γ = 90.00°
Closest atoms and distances in Å follow each position.
Positions (direct):
Ac  0.0000  0.0000  0.0000  4 Ni 3.05, 2 Rh 3.24
Ac  0.0000  0.5000  0.2667  4 Rh 3.05, 2 Ni 3.22
Ac  0.5000  0.0000  0.4963  6 Ni 3.10-3.11, 1 Rh 3.25
Ac  0.5000  0.5000  0.7668  7 Ni 3.09-3.32
Ni  0.0000  0.0000  0.6981  2 Ni 2.67
Ni  0.0000  0.5000  0.5663  2 Ni 2.67
Ni  0.5000  0.5000  0.0526  2 Rh 2.90, 6 Ac 3.05-3.22
Rh  0.5000  0.0000  0.2166  2 Ni 2.90, 6 Ac 3.05-3.24

Output
As for the energy relative to the elements: -0.363 eV/atom. Its space-group type is Pmm2, No. 25.

=====

4.
# TbIn2Pd7

A geometry-optimized TbIn2Pd7 structure (PBE, the Alexandria database).

a = 7.7876 Å, b = 7.7876 Å, c = 4.4189 Å
α = 90.00°, β = 90.00°, γ = 123.78°
Closest atoms and distances in Å follow each position.
Positions (direct):
Tb  0.0000  0.0000  0.0000  10 Pd 2.70-2.96
In  0.3011  0.6989  0.5000  5 Pd 2.64-2.73
In  0.6989  0.3011  0.5000  5 Pd 2.64-2.73
Pd  0.0781  0.2882  0.5000  1 In 2.66, 5 Pd 2.69-2.89, 2 Tb 2.96
Pd  0.1964  0.8036  0.0000  2 In 2.64, 1 Tb 2.70, 4 Pd 2.87
Pd  0.2882  0.0781  0.5000  1 In 2.66, 5 Pd 2.69-2.89, 2 Tb 2.96
Pd  0.5000  0.5000  0.5000  2 In 2.73, 4 Pd 2.74
Pd  0.7118  0.9219  0.5000  1 In 2.66, 5 Pd 2.69-2.89, 2 Tb 2.96
Pd  0.8036  0.1964  0.0000  2 In 2.64, 1 Tb 2.70, 4 Pd 2.87
Pd  0.9219  0.7118  0.5000  1 In 2.66, 5 Pd 2.69-2.89, 2 Tb 2.96

Output
As for the energy relative to the elements: -0.173 eV/atom. Its space-group type is Cmmm, No. 65.

=====

Question: Which formula does entry 2 have?
Answer: ZnTc3F

=====

Question: Number 3 is which compound?
Answer: Ac4Ni3Rh